VASP calculation (PBE-GGA) on an optimized crystal structure of SiIO2.

Lattice parameters (Å, degrees): 8.886 8.886 8.886 18.79 18.79 18.79
Atoms (fractional coordinates):
1 I 0.000 0.000 0.000
2 Si 0.500 0.500 0.500
3 O 0.866 0.866 0.866
4 O 0.134 0.134 0.134

Computed properties:
DOS(E_F), states/eV/f.u.: 0.65
ρ, g cm⁻³: 4.9
Relative energy among the computed polymorphs, meV/atom: 161
Total DFT energy (no corrections), eV per atom: -5.62
Formation energy without anion corrections, eV per formula unit: -5.59
Magnetic moment, μB/f.u.: 0.00



VASP calculation (PBE-GGA) on an optimized crystal structure of Nd8TmTh4.

Lattice parameters (Å, degrees): 11.407 11.407 7.910 90.00 136.14 120.00
Atoms (fractional coordinates):
1 Nd 0.526 0.763 0.289
2 Nd 0.474 0.237 0.711
3 Nd 0.461 0.231 0.202
4 Nd 0.029 0.260 0.798
5 Nd 0.539 0.769 0.798
6 Nd 0.029 0.769 0.798
7 Nd 0.971 0.231 0.202
8 Nd 0.971 0.740 0.202
9 Tm 0.000 0.500 0.500
10 Th 0.000 0.000 0.000
11 Th 0.000 0.500 0.000
12 Th 0.500 0.500 0.000
13 Th 0.500 0.000 0.000

Computed properties:
DOS(E_F), states/eV/f.u.: 21.94
ρ, g cm⁻³: 7.6
Total DFT energy (no corrections), eV per atom: -5.01
Formation energy, kJ/mol of formula units: 695
Magnetic moment, μB/f.u.: 0.00